Below is crystalline InNi2RuN at its relaxed geometry, with properties calculated at the PBE level.

Structure (extended XYZ):
```
5
Lattice="4.7445 0.0000 0.0000 0.0000 3.9322 0.0000 0.0000 0.0000 4.7445" Properties=species:S:1:pos:R:3 pbc="T T T"
Ru 2.3722 1.9661 2.3722
N 0.0000 1.9661 0.0000
Ni 0.0000 0.0000 2.3722
Ni 2.3722 0.0000 0.0000
In 0.0000 0.0000 0.0000
```

Calculated values
Electronic total energy ... -4.430 eV/atom
Polymorph energy (0 for the lowest one) ... 1938 meV per atom
E_form (uncorrected) ... 9.754 eV/f.u.
Space group ... P4/mmm, No. 123